Compound: Er3Al3GeAu2
Source: OQMD via LeMat-Bulk
Functional: GGA-PBE
Structure: optimized geometry

extended XYZ file:
```
9
Lattice="7.426 0.000 0.000 -3.713 6.431 0.000 0.000 0.000 3.916" Properties=species:S:1:pos:R:3 pbc="T T T"
Er -1.455 2.520 0.000
Er 2.910 0.000 0.000
Er 2.258 3.911 0.000
Al -2.750 4.763 1.958
Al 0.963 1.668 1.958
Al 5.500 0.000 1.958
Ge 0.000 0.000 0.000
Au 0.000 4.287 1.958
Au 3.713 2.144 1.958
```

## Properties
Calculated total energy = -4.68 eV per atom

---

Compound: Ho2ErAl3Ge2Au
Source: OQMD via LeMat-Bulk
Functional: GGA-PBE
Structure: optimized geometry

extended XYZ file:
```
9
Lattice="4.232 0.000 0.000 0.000 6.088 3.516 0.000 -6.088 3.516" Properties=species:S:1:pos:R:3 pbc="T T T"
Ho 0.000 -3.575 3.516
Ho 0.000 3.575 3.516
Er 0.000 0.000 4.355
Al 2.116 -1.457 2.295
Al 2.116 1.457 2.295
Al 2.116 0.000 6.801
Ge 2.116 -2.023 4.967
Ge 2.116 2.023 4.967
Au 0.000 0.000 1.461
```

## Properties
Calculated total energy = -4.88 eV per atom

---

Compound: Tb2ErAl3Ge2Au
Source: OQMD via LeMat-Bulk
Functional: GGA-PBE
Structure: optimized geometry

extended XYZ file:
```
9
Lattice="4.264 0.000 0.000 0.000 6.097 3.533 0.000 -6.097 3.533" Properties=species:S:1:pos:R:3 pbc="T T T"
Tb 0.000 -3.572 3.533
Tb 0.000 3.572 3.533
Er 0.000 0.000 4.402
Al 2.132 -1.451 2.309
Al 2.132 1.451 2.309
Al 2.132 0.000 6.861
Ge 2.132 -2.013 4.995
Ge 2.132 2.013 4.995
Au 0.000 0.000 1.507
```

## Properties
Calculated total energy = -4.89 eV per atom

---

Compound: YEr2Al3Ge2Au
Source: OQMD via LeMat-Bulk
Functional: GGA-PBE
Structure: optimized geometry

extended XYZ file:
```
9
Lattice="4.229 0.000 0.000 0.000 6.105 3.520 0.000 -6.105 3.520" Properties=species:S:1:pos:R:3 pbc="T T T"
Y 0.000 0.000 0.000
Er 0.000 -2.521 2.681
Er 0.000 2.521 2.681
Al 2.115 0.000 2.445
Al 2.115 -1.463 4.971
Al 2.115 1.463 4.971
Ge 2.115 -4.053 4.137
Ge 2.115 4.053 4.137
Au 0.000 0.000 4.107
```

## Properties
Calculated total energy = -5.09 eV per atom

---

Compound: Y2ErAl3Ge2Au
Source: OQMD via LeMat-Bulk
Functional: GGA-PBE
Structure: optimized geometry

extended XYZ file:
```
9
Lattice="4.239 0.000 0.000 0.000 6.116 3.533 0.000 -6.116 3.533" Properties=species:S:1:pos:R:3 pbc="T T T"
Y 0.000 -3.589 3.533
Y 0.000 3.589 3.533
Er 0.000 0.000 4.377
Al 2.120 -1.459 2.310
Al 2.120 1.459 2.310
Al 2.120 0.000 6.839
Ge 2.120 -2.023 4.991
Ge 2.120 2.023 4.991
Au 0.000 0.000 1.486
```

## Properties
Calculated total energy = -5.30 eV per atom

---

Compound: ErHfAl2Au4
Source: OQMD via LeMat-Bulk
Functional: GGA-PBE
Structure: optimized geometry

extended XYZ file:
```
8
Lattice="4.522 0.000 0.000 -2.261 3.916 0.000 0.000 0.000 8.747" Properties=species:S:1:pos:R:3 pbc="T T T"
Er 0.000 0.000 0.000
Hf 0.000 2.611 4.374
Al 2.261 1.305 2.620
Al 2.261 1.305 6.128
Au 0.000 0.000 2.961
Au 0.000 0.000 5.786
Au 0.000 2.611 1.456
Au 0.000 2.611 7.292
```

## Properties
Calculated total energy = -5.02 eV per atom

---

Which value of calculated total energy does entry 3 give? -4.89 eV per atom

---

calculated total energy of number 3 (Tb2ErAl3Ge2Au)? -4.89 eV per atom

---

The highest calculated total energy belongs to which entry? Er3Al3GeAu2